1.
Compound: Pr3Te12Pb5
Source: Alexandria via LeMat-Bulk
Functional: PBE
Structure: optimized geometry

Values from the calculation:
raw formation energy	-0.5696	eV/atom
V	39.5	Å³/atom
crystal system	cubic

Unit cell a=16.0088 b=16.0088 c=16.0088 alpha=109.47 beta=109.47 gamma=109.47
Element x y z (fractional)
Pr 0.1250 0.2500 0.3750
Pr 0.1250 0.3750 0.7500
Pr 0.2500 0.3750 0.1250
Pr 0.2500 0.8750 0.6250
Pr 0.3750 0.1250 0.2500
Pr 0.3750 0.7500 0.1250
Pr 0.6250 0.2500 0.8750
Pr 0.6250 0.8750 0.7500
Pr 0.7500 0.1250 0.3750
Pr 0.7500 0.6250 0.8750
Pr 0.8750 0.6250 0.2500
Pr 0.8750 0.7500 0.6250
Te 0.0566 0.2263 0.1406
Te 0.0566 0.3303 0.9160
Te 0.0840 0.6406 0.4143
Te 0.0840 0.9434 0.6697
Te 0.0857 0.7263 0.6697
Te 0.0857 0.8594 0.4160
Te 0.1406 0.0566 0.2263
Te 0.1406 0.5840 0.9143
Te 0.1697 0.2263 0.5857
Te 0.1697 0.4434 0.5840
Te 0.2263 0.1406 0.0566
Te 0.2263 0.5857 0.1697
Te 0.2737 0.3303 0.9143
Te 0.2737 0.4434 0.3594
Te 0.3303 0.9143 0.2737
Te 0.3303 0.9160 0.0566
Te 0.3594 0.2737 0.4434
Te 0.3594 0.5857 0.9160
Te 0.4143 0.0840 0.6406
Te 0.4143 0.8303 0.7737
Te 0.4160 0.0857 0.8594
Te 0.4160 0.8303 0.5566
Te 0.4434 0.3594 0.2737
Te 0.4434 0.5840 0.1697
Te 0.5566 0.4160 0.8303
Te 0.5566 0.6406 0.7263
Te 0.5840 0.1697 0.4434
Te 0.5840 0.9143 0.1406
Te 0.5857 0.1697 0.2263
Te 0.5857 0.9160 0.3594
Te 0.6406 0.4143 0.0840
Te 0.6406 0.7263 0.5566
Te 0.6697 0.0840 0.9434
Te 0.6697 0.0857 0.7263
Te 0.7263 0.5566 0.6406
Te 0.7263 0.6697 0.0857
Te 0.7737 0.4143 0.8303
Te 0.7737 0.8594 0.9434
Te 0.8303 0.5566 0.4160
Te 0.8303 0.7737 0.4143
Te 0.8594 0.4160 0.0857
Te 0.8594 0.9434 0.7737
Te 0.9143 0.1406 0.5840
Te 0.9143 0.2737 0.3303
Te 0.9160 0.0566 0.3303
Te 0.9160 0.3594 0.5857
Te 0.9434 0.6697 0.0840
Te 0.9434 0.7737 0.8594
Pb 0.0000 0.0000 0.0000
Pb 0.0000 0.0000 0.5000
Pb 0.0000 0.5000 0.0000
Pb 0.0000 0.5000 0.5000
Pb 0.1250 0.7500 0.8750
Pb 0.1250 0.8750 0.2500
Pb 0.2500 0.1250 0.8750
Pb 0.2500 0.6250 0.3750
Pb 0.3750 0.2500 0.6250
Pb 0.3750 0.6250 0.7500
Pb 0.5000 0.0000 0.0000
Pb 0.5000 0.0000 0.5000
Pb 0.5000 0.5000 0.0000
Pb 0.5000 0.5000 0.5000
Pb 0.6250 0.3750 0.2500
Pb 0.6250 0.7500 0.3750
Pb 0.7500 0.3750 0.6250
Pb 0.7500 0.8750 0.1250
Pb 0.8750 0.1250 0.7500
Pb 0.8750 0.2500 0.1250


2.
Compound: Pr2TePb
Source: Alexandria via LeMat-Bulk
Functional: PBE
Structure: optimized geometry

Values from the calculation:
raw formation energy	-1.0550	eV/atom
V	33.8	Å³/atom
crystal system	tetragonal
energy above the most stable polymorph in this dataset	7	meV/atom

Unit cell a=4.5774 b=4.5774 c=6.4583 alpha=90.00 beta=90.00 gamma=90.00
Element x y z (fractional)
Pr 0.0000 0.0000 0.0000
Pr 0.5000 0.5000 0.5000
Te 0.0000 0.0000 0.5000
Pb 0.5000 0.5000 0.0000


3.
Compound: PrTe4Pb2
Source: Alexandria via LeMat-Bulk
Functional: PBE
Structure: optimized geometry

Values from the calculation:
raw formation energy	-0.6538	eV/atom
V	35.8	Å³/atom
crystal system	orthorhombic

Unit cell a=7.9021 b=7.9021 c=14.6802 alpha=90.00 beta=90.00 gamma=146.87
Element x y z (fractional)
Pr 0.1010 0.8990 0.7500
Pr 0.8990 0.1010 0.2500
Te 0.0000 0.0000 0.0000
Te 0.0000 0.0000 0.5000
Te 0.2820 0.7180 0.1382
Te 0.2820 0.7180 0.3618
Te 0.4528 0.5472 0.7500
Te 0.5472 0.4528 0.2500
Te 0.7180 0.2820 0.6382
Te 0.7180 0.2820 0.8618
Pb 0.3648 0.6352 0.5603
Pb 0.3648 0.6352 0.9397
Pb 0.6352 0.3648 0.0603
Pb 0.6352 0.3648 0.4397


4.
Compound: Pr3Te3Pb
Source: Alexandria via LeMat-Bulk
Functional: PBE
Structure: optimized geometry

Values from the calculation:
raw formation energy	-1.0542	eV/atom
V	37.7	Å³/atom
crystal system	cubic

Unit cell a=6.4133 b=6.4133 c=6.4133 alpha=90.00 beta=90.00 gamma=90.00
Element x y z (fractional)
Pr 0.0000 0.0000 0.5000
Pr 0.0000 0.5000 0.0000
Pr 0.5000 0.0000 0.0000
Te 0.0000 0.5000 0.5000
Te 0.5000 0.0000 0.5000
Te 0.5000 0.5000 0.0000
Pb 0.0000 0.0000 0.0000